# RbZrTe3Au PBE relaxed
# * volume: 824 Å³ per cell
# * E: -4.398 eV/atom
data_RbZrTe3Au
_chemical_formula_sum 'Rb4 Zr4 Te12 Au4'
_space_group_name_H-M_alt 'P n m a'
_space_group_IT_number 62
_space_group_name_Hall '-P 2ac 2n'
_cell_length_a 13.908
_cell_length_b 4.418
_cell_length_c 13.416
_cell_angle_alpha 90.00
_cell_angle_beta 90.00
_cell_angle_gamma 90.00
loop_
_atom_site_label
_atom_site_fract_x
_atom_site_fract_y
_atom_site_fract_z
_atom_site_occupancy
Rb1 0.197 0.250 0.053 1
Zr1 0.037 0.250 0.339 1
Te1 0.000 0.250 0.814 1
Te2 0.074 0.250 0.563 1
Te3 0.242 0.750 0.841 1
Au1 0.174 0.750 0.275 1

# RbZrTe3Au PBE relaxed
# * volume: 726 Å³ per cell
# * E: -4.367 eV/atom
data_RbZrTe3Au
_chemical_formula_sum 'Rb4 Zr4 Te12 Au4'
_space_group_name_H-M_alt 'P n m a'
_space_group_IT_number 62
_space_group_name_Hall '-P 2ac 2n'
_cell_length_a 8.550
_cell_length_b 4.719
_cell_length_c 18.003
_cell_angle_alpha 90.00
_cell_angle_beta 90.00
_cell_angle_gamma 90.00
loop_
_atom_site_label
_atom_site_fract_x
_atom_site_fract_y
_atom_site_fract_z
_atom_site_occupancy
Rb1 0.132 0.250 0.181 1
Zr1 0.242 0.250 0.950 1
Te1 0.000 0.250 0.425 1
Te2 0.126 0.750 0.029 1
Te3 0.174 0.250 0.796 1
Au1 0.005 0.750 0.335 1

# Rb2ZrTe4Au2 PBE relaxed
# * volume: 622 Å³ per cell
# * E: -4.053 eV/atom
data_Rb2ZrTe4Au2
_chemical_formula_sum 'Rb4 Zr2 Te8 Au4'
_space_group_name_H-M_alt 'C 2 2 2'
_space_group_IT_number 21
_space_group_name_Hall 'C 2 2'
_cell_length_a 6.469
_cell_length_b 14.866
_cell_length_c 6.465
_cell_angle_alpha 90.00
_cell_angle_beta 90.00
_cell_angle_gamma 90.00
loop_
_atom_site_label
_atom_site_fract_x
_atom_site_fract_y
_atom_site_fract_z
_atom_site_occupancy
Rb1 0.250 0.250 0.244 1
Zr1 0.000 0.000 0.500 1
Te1 0.246 0.110 0.746 1
Au1 0.000 0.000 0.000 1
Au2 0.000 0.500 0.500 1

# RbZrTe3Au PBE relaxed
# * volume: 784 Å³ per cell
# * E: -4.488 eV/atom
data_RbZrTe3Au
_chemical_formula_sum 'Rb4 Zr4 Te12 Au4'
_space_group_name_H-M_alt 'P n m a'
_space_group_IT_number 62
_space_group_name_Hall '-P 2ac 2n'
_cell_length_a 16.494
_cell_length_b 4.234
_cell_length_c 11.223
_cell_angle_alpha 90.00
_cell_angle_beta 90.00
_cell_angle_gamma 90.00
loop_
_atom_site_label
_atom_site_fract_x
_atom_site_fract_y
_atom_site_fract_z
_atom_site_occupancy
Rb1 0.238 0.250 0.051 1
Zr1 0.013 0.250 0.316 1
Te1 0.084 0.250 0.565 1
Te2 0.102 0.750 0.870 1
Te3 0.133 0.750 0.266 1
Au1 0.011 0.750 0.100 1

# RbZrTe3Au PBE relaxed
# * volume: 774 Å³ per cell
# * E: -4.478 eV/atom
data_RbZrTe3Au
_chemical_formula_sum 'Rb4 Zr4 Te12 Au4'
_space_group_name_H-M_alt 'P n m a'
_space_group_IT_number 62
_space_group_name_Hall '-P 2ac 2n'
_cell_length_a 11.523
_cell_length_b 4.211
_cell_length_c 15.955
_cell_angle_alpha 90.00
_cell_angle_beta 90.00
_cell_angle_gamma 90.00
loop_
_atom_site_label
_atom_site_fract_x
_atom_site_fract_y
_atom_site_fract_z
_atom_site_occupancy
Rb1 0.226 0.250 0.007 1
Zr1 0.050 0.750 0.747 1
Te1 0.030 0.750 0.135 1
Te2 0.046 0.250 0.616 1
Te3 0.224 0.250 0.317 1
Au1 0.246 0.250 0.703 1

# RbZrTe3Au PBE relaxed
# * volume: 756 Å³ per cell
# * E: -4.340 eV/atom
data_RbZrTe3Au
_chemical_formula_sum 'Rb4 Zr4 Te12 Au4'
_space_group_name_H-M_alt 'C 1 2/m 1'
_space_group_IT_number 12
_space_group_name_Hall '-C 2y'
_cell_length_a 19.551
_cell_length_b 4.091
_cell_length_c 9.470
_cell_angle_alpha 90.00
_cell_angle_beta 92.84
_cell_angle_gamma 90.00
loop_
_atom_site_label
_atom_site_fract_x
_atom_site_fract_y
_atom_site_fract_z
_atom_site_occupancy
Rb1 0.134 0.000 0.104 1
Zr1 0.152 0.000 0.594 1
Te1 0.000 0.000 0.500 1
Te2 0.000 0.500 0.000 1
Te3 0.183 0.500 0.806 1
Te4 0.188 0.500 0.391 1
Au1 0.047 0.500 0.714 1

# RbTlAu3 PBE relaxed
# * volume: 288 Å³ per cell
# * E: -2.814 eV/atom
data_RbTlAu3
_chemical_formula_sum 'Rb2 Tl2 Au6'
_space_group_name_H-M_alt 'I m m 2'
_space_group_IT_number 44
_space_group_name_Hall 'I 2 -2'
_cell_length_a 4.891
_cell_length_b 5.519
_cell_length_c 10.682
_cell_angle_alpha 90.00
_cell_angle_beta 90.00
_cell_angle_gamma 90.00
loop_
_atom_site_label
_atom_site_fract_x
_atom_site_fract_y
_atom_site_fract_z
_atom_site_occupancy
Rb1 0.000 0.000 0.000 1
Tl1 0.000 0.000 0.649 1
Au1 0.000 0.253 0.292 1
Au2 0.000 0.500 0.778 1

# RbTl2Au2 PBE relaxed
# * volume: 300 Å³ per cell
# * E: -2.621 eV/atom
data_RbTl2Au2
_chemical_formula_sum 'Rb2 Tl4 Au4'
_space_group_name_H-M_alt 'I 4/m m m'
_space_group_IT_number 139
_space_group_name_Hall '-I 4 2'
_cell_length_a 4.985
_cell_length_b 4.985
_cell_length_c 12.075
_cell_angle_alpha 90.00
_cell_angle_beta 90.00
_cell_angle_gamma 90.00
loop_
_atom_site_label
_atom_site_fract_x
_atom_site_fract_y
_atom_site_fract_z
_atom_site_occupancy
Rb1 0.000 0.000 0.000 1
Tl1 0.000 0.500 0.250 1
Au1 0.000 0.000 0.386 1

# Rb3TlAu5 PBE relaxed
# * volume: 1019 Å³ per cell
# * E: -2.662 eV/atom
data_Rb3TlAu5
_chemical_formula_sum 'Rb12 Tl4 Au20'
_space_group_name_H-M_alt 'I m m a'
_space_group_IT_number 74
_space_group_name_Hall '-I 2b 2'
_cell_length_a 5.770
_cell_length_b 20.367
_cell_length_c 8.670
_cell_angle_alpha 90.00
_cell_angle_beta 90.00
_cell_angle_gamma 90.00
loop_
_atom_site_label
_atom_site_fract_x
_atom_site_fract_y
_atom_site_fract_z
_atom_site_occupancy
Rb1 0.000 0.088 0.122 1
Rb2 0.000 0.250 0.881 1
Tl1 0.000 0.250 0.339 1
Au1 0.000 0.000 0.500 1
Au2 0.000 0.144 0.544 1
Au3 0.250 0.061 0.750 1

# RbTl2Au3 PBE relaxed
# * volume: 160 Å³ per cell
# * E: -2.678 eV/atom
data_RbTl2Au3
_chemical_formula_sum 'Rb1 Tl2 Au3'
_space_group_name_H-M_alt 'P 6/m m m'
_space_group_IT_number 191
_space_group_name_Hall '-P 6 2'
_cell_length_a 6.3191
_cell_length_b 6.3191
_cell_length_c 4.6248
_cell_angle_alpha 90.00
_cell_angle_beta 90.00
_cell_angle_gamma 120.00
loop_
_atom_site_label
_atom_site_fract_x
_atom_site_fract_y
_atom_site_fract_z
_atom_site_occupancy
Rb1 0.0000 0.0000 0.0000 1
Tl1 0.3333 0.6667 0.0000 1
Au1 0.0000 0.5000 0.5000 1

# RbTmAu PBE relaxed
# * volume: 387 Å³ per cell
# * E: -2.461 eV/atom
data_RbTmAu
_chemical_formula_sum 'Rb4 Tm4 Au4'
_space_group_name_H-M_alt 'F -4 3 m'
_space_group_IT_number 216
_space_group_name_Hall 'F -4 2 3'
_cell_length_a 7.287
_cell_length_b 7.287
_cell_length_c 7.287
_cell_angle_alpha 90.00
_cell_angle_beta 90.00
_cell_angle_gamma 90.00
loop_
_atom_site_label
_atom_site_fract_x
_atom_site_fract_y
_atom_site_fract_z
_atom_site_occupancy
Rb1 0.000 0.000 0.000 1
Tm1 0.250 0.250 0.750 1
Au1 0.000 0.000 0.500 1

# RbUAu PBE relaxed
# * volume: 384 Å³ per cell
# * E: -3.988 eV/atom
data_RbUAu
_chemical_formula_sum 'Rb4 U4 Au4'
_space_group_name_H-M_alt 'F -4 3 m'
_space_group_IT_number 216
_space_group_name_Hall 'F -4 2 3'
_cell_length_a 7.268
_cell_length_b 7.268
_cell_length_c 7.268
_cell_angle_alpha 90.00
_cell_angle_beta 90.00
_cell_angle_gamma 90.00
loop_
_atom_site_label
_atom_site_fract_x
_atom_site_fract_y
_atom_site_fract_z
_atom_site_occupancy
Rb1 0.000 0.000 0.000 1
U1 0.250 0.250 0.250 1
Au1 0.000 0.000 0.500 1